The following is a DFT calculation (PBE) of an optimized crystal structure of LaSBr2.

a = 11.5062 Å, b = 11.5062 Å, c = 11.5062 Å
α = 20.95°, β = 20.95°, γ = 20.95°
Closest atoms and distances in Å follow each position.
Sites, in units of the cell vectors:
La (0.0000, 0.0000, 0.0000)  2 Br 2.73
S (0.5000, 0.5000, 0.5000)  6 Br 3.77, 6 S 4.18
Br (0.0807, 0.0807, 0.0807)  1 La 2.73
Br (0.9193, 0.9193, 0.9193)  1 La 2.73

Output
* DOS at the Fermi energy: 0.758 states/eV per atom
* energy: -0.1149 hartree per atom
* offset from the most stable computed form: 1.452 eV per atom

The following is a DFT calculation (PBE) of an optimized crystal structure of La2S2Br.

a = 7.5767 Å, b = 7.5767 Å, c = 7.5767 Å
α = 142.37°, β = 142.37°, γ = 54.27°
Closest atoms and distances in Å follow each position.
Sites, in units of the cell vectors:
La (0.1471, 0.1471, 0.0000)  4 S 2.81
La (0.8529, 0.8529, 0.0000)  4 S 2.81
S (0.2500, 0.7500, 0.5000)  4 La 2.81
S (0.7500, 0.2500, 0.5000)  4 La 2.81
Br (0.5000, 0.5000, 0.0000)  8 La 3.98, 8 S 4.16

Output
* DOS at the Fermi energy: 0.000 states/eV per atom
* energy: -0.2112 hartree per atom
* offset from the most stable computed form: 0.248 eV per atom

The following is a DFT calculation (PBE) of an optimized crystal structure of La2SBr.

a = 5.1916 Å, b = 5.1916 Å, c = 5.1916 Å
α = 60.00°, β = 60.00°, γ = 60.00°
Closest atoms and distances in Å follow each position.
Sites, in units of the cell vectors:
La (0.2500, 0.2500, 0.2500)  4 S 3.18, 4 Br 3.18
La (0.7500, 0.7500, 0.7500)  4 S 3.18, 4 Br 3.18
S (0.0000, 0.0000, 0.0000)  8 La 3.18
Br (0.5000, 0.5000, 0.5000)  8 La 3.18

Output
* DOS at the Fermi energy: 0.712 states/eV per atom
* energy: -0.1981 hartree per atom
* offset from the most stable computed form: 0.276 eV per atom

The following is a DFT calculation (PBE) of an optimized crystal structure of LaSBr2.

a = 4.9326 Å, b = 5.7915 Å, c = 5.8446 Å
α = 90.00°, β = 90.00°, γ = 90.00°
Closest atoms and distances in Å follow each position.
Sites, in units of the cell vectors:
La (0.0000, 0.0000, 0.0000)  2 S 2.77, 4 Br 2.96-3.08
S (0.5000, 0.0000, 0.2140)  1 Br 2.75, 2 La 2.77
Br (0.0000, 0.5000, 0.8952)  2 La 2.96
Br (0.5000, 0.0000, 0.6839)  1 S 2.75

Output
* DOS at the Fermi energy: 0.162 states/eV per atom
* energy: -0.1661 hartree per atom
* offset from the most stable computed form: 0.057 eV per atom

Formation energy without anion corrections list, top to bottom, in eV per atom: -0.03 -1.79 -1.48 -1.42